Record 1
YScU2P4: optimized geometry, PBE-GGA. Values from VASP.

Calculated values
ρ (Mg/m³): 7.2
Formation energy (kJ per mole of atoms): -121.22
E (eV/atom): -8.3828

Structure (Quantum ESPRESSO input):
```
&SYSTEM
  ibrav = 0, nat = 8, ntyp = 4
/
ATOMIC_SPECIES
Sc 44.96 Sc.upf
P 30.97 P.upf
U 238.03 U.upf
Y 88.91 Y.upf
CELL_PARAMETERS angstrom
3.9004 0.0000 0.0000
0.0000 6.7478 0.1150
0.0000 -2.3620 6.4155
ATOMIC_POSITIONS crystal
Sc 0.0000 0.0000 0.0000
P 0.0000 0.7573 0.2500
P 0.5000 0.2412 0.2450
P 0.0000 0.2427 0.7500
P 0.5000 0.7588 0.7550
U 0.5000 0.0000 0.5000
U 0.0000 0.5000 0.5000
Y 0.5000 0.5000 0.0000
```

Record 2
Sr2CrRu: optimized geometry, PBE-GGA. Values from VASP.

Calculated values
ρ (Mg/m³): 5.2
Formation energy (kJ per mole of atoms): 72.39
Energy above the most stable polymorph in this dataset (eV/f.u.): 2.037
E (eV/atom): -4.8154

Structure (Quantum ESPRESSO input):
```
&SYSTEM
  ibrav = 0, nat = 4, ntyp = 3
/
ATOMIC_SPECIES
Cr 52.00 Cr.upf
Ru 101.07 Ru.upf
Sr 87.62 Sr.upf
CELL_PARAMETERS angstrom
1.5693 -3.5463 3.6114
-3.4119 -1.7389 3.6629
-1.8079 -4.9767 -0.2134
ATOMIC_POSITIONS crystal
Cr 0.0000 0.0000 0.0000
Ru 0.5000 0.5000 0.5000
Sr 0.2500 0.2500 0.2500
Sr 0.7500 0.7500 0.7500
```

Record 3
V2FeNi2: optimized geometry, PBE-GGA. Values from VASP.

Calculated values
ρ (Mg/m³): 7.4
Formation energy (kJ per mole of atoms): 2.80
Energy above the most stable polymorph in this dataset (eV/f.u.): 0.377
E (eV/atom): -7.6235

Structure (Quantum ESPRESSO input):
```
&SYSTEM
  ibrav = 0, nat = 10, ntyp = 3
/
ATOMIC_SPECIES
V 50.94 V.upf
Ni 58.69 Ni.upf
Fe 55.84 Fe.upf
CELL_PARAMETERS angstrom
6.9054 0.0000 0.0000
0.0000 6.9054 0.0000
0.0000 0.0000 2.5962
ATOMIC_POSITIONS crystal
V 0.3258 0.1742 0.5000
V 0.6742 0.8258 0.5000
V 0.1742 0.6742 0.5000
V 0.8258 0.3258 0.5000
Ni 0.8760 0.6240 0.0000
Ni 0.6240 0.1240 0.0000
Ni 0.1240 0.3760 0.0000
Ni 0.3760 0.8760 0.0000
Fe 0.5000 0.5000 0.0000
Fe 0.0000 0.0000 0.0000
```

Record 4
Pu2Al4GaCu3: optimized geometry, PBE-GGA. Values from VASP.

Calculated values
ρ (Mg/m³): 7.9
Formation energy (kJ per mole of atoms): -22.64
E (eV/atom): -6.1296

Structure (Quantum ESPRESSO input):
```
&SYSTEM
  ibrav = 0, nat = 10, ntyp = 4
/
ATOMIC_SPECIES
Ga 69.72 Ga.upf
Pu 244.00 Pu.upf
Al 26.98 Al.upf
Cu 63.55 Cu.upf
CELL_PARAMETERS angstrom
-2.1077 -1.3519 3.3407
-3.0501 -1.3922 -2.4877
4.7611 -9.1685 -0.7064
ATOMIC_POSITIONS crystal
Ga 0.5000 0.5000 0.5000
Pu 0.0000 0.5000 0.7513
Pu 0.5000 0.0000 0.2487
Al 0.0000 0.5000 0.3588
Al 0.5000 0.5000 0.0000
Al 0.0000 0.0000 0.0000
Al 0.5000 0.0000 0.6412
Cu 0.0000 0.0000 0.5000
Cu 0.5000 0.0000 0.8715
Cu 0.0000 0.5000 0.1285
```

Record 5
Al2Ga6Re: optimized geometry, PBE-GGA. Values from VASP.

Calculated values
ρ (Mg/m³): 6.3
Formation energy (kJ per mole of atoms): 17.16
E (eV/atom): -4.0549

Structure (Quantum ESPRESSO input):
```
&SYSTEM
  ibrav = 0, nat = 9, ntyp = 3
/
ATOMIC_SPECIES
Ga 69.72 Ga.upf
Al 26.98 Al.upf
Re 186.21 Re.upf
CELL_PARAMETERS angstrom
2.9234 0.0000 0.0000
0.0000 7.1584 -4.1329
0.0000 0.0000 8.2658
ATOMIC_POSITIONS crystal
Ga 0.7530 0.1742 0.8258
Ga 0.7530 0.1742 0.3484
Ga 0.2470 0.3484 0.1742
Ga 0.2470 0.8258 0.6516
Ga 0.2470 0.8258 0.1742
Ga 0.7530 0.6516 0.8258
Al 0.3452 0.3333 0.6667
Al 0.6548 0.6667 0.3333
Re 0.0000 0.0000 0.0000
```

Record 6
NpGaCuO6: optimized geometry, PBE-GGA. Values from VASP.

Calculated values
ρ (Mg/m³): 7.3
Raw formation energy (eV per atom): -1.69
E (eV/atom): -7.2271

Structure (Quantum ESPRESSO input):
```
&SYSTEM
  ibrav = 0, nat = 18, ntyp = 4
/
ATOMIC_SPECIES
Ga 69.72 Ga.upf
O 16.00 O.upf
Np 237.00 Np.upf
Cu 63.55 Cu.upf
CELL_PARAMETERS angstrom
5.2214 0.0000 0.0000
-2.6107 4.5219 0.0000
0.0000 0.0000 8.9574
ATOMIC_POSITIONS crystal
Ga 0.3333 0.6667 0.7500
Ga 0.6667 0.3333 0.2500
O 0.0035 0.3431 0.6305
O 0.6604 0.6569 0.1305
O 0.3431 0.0035 0.1305
O 0.3396 0.3431 0.8695
O 0.6569 0.9965 0.8695
O 0.0035 0.6604 0.8695
O 0.9965 0.6569 0.3695
O 0.3396 0.9965 0.6305
O 0.6569 0.6604 0.6305
O 0.3431 0.3396 0.3695
O 0.9965 0.3396 0.1305
O 0.6604 0.0035 0.3695
Np 0.6667 0.3333 0.7500
Np 0.3333 0.6667 0.2500
Cu 0.0000 0.0000 0.0000
Cu 0.0000 0.0000 0.5000
```

Record 7
In2WI: optimized geometry, PBE-GGA. Values from VASP.

Calculated values
ρ (Mg/m³): 9.2
Raw formation energy (eV per atom): 1.28
Energy above the most stable polymorph in this dataset (eV/f.u.): 0.449
E (eV/atom): -3.7169

Structure (Quantum ESPRESSO input):
```
&SYSTEM
  ibrav = 0, nat = 4, ntyp = 3
/
ATOMIC_SPECIES
I 126.90 I.upf
W 183.84 W.upf
In 114.82 In.upf
CELL_PARAMETERS angstrom
0.0000 3.6552 3.6552
3.6552 0.0000 3.6552
3.6552 3.6552 0.0000
ATOMIC_POSITIONS crystal
I 0.0000 0.0000 0.0000
W 0.5000 0.5000 0.5000
In 0.7500 0.7500 0.7500
In 0.2500 0.2500 0.2500
```

Record 8
Y2CSe: optimized geometry, PBE-GGA. Values from VASP.

Calculated values
ρ (Mg/m³): 4.9
Raw formation energy (eV per atom): -0.88
E (eV/atom): -7.2939

Structure (Quantum ESPRESSO input):
```
&SYSTEM
  ibrav = 0, nat = 8, ntyp = 3
/
ATOMIC_SPECIES
C 12.01 C.upf
Y 88.91 Y.upf
Se 78.96 Se.upf
CELL_PARAMETERS angstrom
-5.3748 2.9439 -2.8504
2.0773 -2.0950 -6.0808
-3.7485 -2.9710 -4.0130
ATOMIC_POSITIONS crystal
C 0.2500 0.7500 0.5000
C 0.5000 0.5000 0.0000
Y 0.1918 0.6250 0.2500
Y 0.8750 0.8082 0.7500
Y 0.5582 0.1250 0.2500
Y 0.3750 0.4418 0.7500
Se 0.7500 0.2500 0.5000
Se 0.0000 0.0000 0.0000
```